# NdTh2Zn4

An optimized crystal structure of NdTh2Zn4 (GGA-PBE, Alexandria).

Its formation enthalpy at 0 K is -0.028 eV per atom. For the size of the total moment, the calculation gives 0.00 μB/f.u.

It has space group I4/mmm (No. 139), with a = 5.092 Å, b = 5.092 Å, c = 14.019 Å, α = 90.00°, β = 90.00° and γ = 90.00°. The distinct sites, in fractional coordinates, are Nd at (0.000, 0.000, 0.000), Th at (0.000, 0.000, 0.263) and Zn at (0.000, 0.500, 0.114).

***

# PuZrSn

An optimized crystal structure of PuZrSn (GGA-PBE, Alexandria).

Its formation enthalpy at 0 K is -0.239 eV per atom. For the size of the total moment, the calculation gives 5.70 μB/f.u.

It has space group P4/nmm (No. 129, origin choice 2), with a = 4.423 Å, b = 4.423 Å, c = 8.160 Å, α = 90.00°, β = 90.00° and γ = 90.00°. The distinct sites, in fractional coordinates, are Pu at (0.250, 0.250, 0.151), Zr at (0.250, 0.750, 0.500) and Sn at (0.250, 0.250, 0.757).

***

# Li8Nd7Ge10

An optimized crystal structure of Li8Nd7Ge10 (GGA-PBE, Alexandria).

Its formation enthalpy at 0 K is -0.693 eV per atom. For the size of the total moment, the calculation gives 0.00 μB/f.u.

It has space group Cmmm (No. 65), with a = 6.910 Å, b = 33.549 Å, c = 4.444 Å, α = 90.00°, β = 90.00° and γ = 90.00°. The distinct sites, in fractional coordinates, are Li at (0.188, 0.143, 0.000), Li at (0.190, 0.425, 0.500), Nd at (0.000, 0.057, 0.000), Nd at (0.000, 0.221, 0.500), Nd at (0.000, 0.339, 0.500), Nd at (0.000, 0.500, 0.000), Ge at (0.000, 0.127, 0.500), Ge at (0.000, 0.406, 0.000), Ge at (0.183, 0.285, 0.000) and Ge at (0.186, 0.000, 0.500).

***

# LiTm2Ag6

An optimized crystal structure of LiTm2Ag6 (GGA-PBE, Alexandria).

Its formation enthalpy at 0 K is -0.128 eV per atom. For the size of the total moment, the calculation gives 0.00 μB/f.u.

It has space group Cmmm (No. 65), with a = 7.982 Å, b = 14.262 Å, c = 3.254 Å, α = 90.00°, β = 90.00° and γ = 90.00°. The distinct sites, in fractional coordinates, are Li at (0.000, 0.000, 0.000), Tm at (0.000, 0.308, 0.500), Ag at (0.182, 0.155, 0.000) and Ag at (0.188, 0.500, 0.500).

***

# CuGe2Os2

An optimized crystal structure of CuGe2Os2 (GGA-PBE, Alexandria).

Its formation enthalpy at 0 K is 0.216 eV per atom. For the size of the total moment, the calculation gives 0.00 μB/f.u.

It has space group P4/mbm (No. 127), with a = 7.039 Å, b = 7.039 Å, c = 3.018 Å, α = 90.00°, β = 90.00° and γ = 90.00°. The distinct sites, in fractional coordinates, are Cu at (0.000, 0.000, 0.000), Ge at (0.153, 0.347, 0.500) and Os at (0.146, 0.646, 0.000).

***

# Ho4ZnS3

An optimized crystal structure of Ho4ZnS3 (GGA-PBE, Alexandria).

As for the formation energy (no corrections): -1.56 eV/atom. For the size of the total moment, the calculation gives 0.00 μB/f.u.

It has space group I4/mmm (No. 139), with a = 5.581 Å, b = 5.581 Å, c = 11.127 Å, α = 90.00°, β = 90.00° and γ = 90.00°. The distinct sites, in fractional coordinates, are Ho at (0.000, 0.000, 0.244), Ho at (0.000, 0.500, 0.000), Zn at (0.000, 0.000, 0.500), S at (0.000, 0.000, 0.000) and S at (0.000, 0.500, 0.250).